This record from Alexandria describes crystalline Li4Fe3TeO8 at its relaxed geometry. The functional is PBE with a Hubbard U.

```
Li4Fe3TeO8
1.0
3.1082 5.1896 -0.0263
-3.1082 5.1896 -0.0263
0.0000 3.3593 5.0354
Fe Li O Te
3 4 8 1
direct
0.5000 0.0000 0.5000
0.5000 0.5000 0.0000
0.0000 0.5000 0.5000
0.5000 0.5000 0.5000
0.0000 0.0000 0.5000
0.5000 0.0000 0.0000
0.0000 0.5000 0.0000
0.2281 0.2281 0.7796
0.7799 0.2281 0.2278
0.7719 0.2201 0.7722
0.2281 0.7799 0.2278
0.2201 0.7719 0.7722
0.7370 0.7370 0.7366
0.2630 0.2630 0.2634
0.7719 0.7719 0.2204
0.0000 0.0000 0.0000
```

Output
For the relative energy among the computed polymorphs, the calculation gives 0.0 kJ per mole of atoms.